# 1
KNaCdCl4 | GGA-PBE | relaxed

Geometry as POSCAR:
```
KNaCdCl4
1.0
7.2356 0.0000 0.2069
0.0000 7.2937 0.0000
-2.5766 0.0000 8.0748
K Na Cd Cl
2 2 2 8
direct
0.7727 0.7500 0.9526
0.2273 0.2500 0.0474
0.7974 0.7500 0.4462
0.2026 0.2500 0.5538
0.2643 0.7500 0.3335
0.7357 0.2500 0.6665
0.9872 0.4989 0.7236
0.0128 0.9989 0.2764
0.0128 0.5011 0.2764
0.9872 0.0011 0.7236
0.4722 0.7500 0.1463
0.5278 0.2500 0.8537
0.5009 0.7500 0.6054
0.4991 0.2500 0.3946
```

Its spin magnetization is 0.00 μB/f.u. As for the raw formation energy: -1512 meV/atom.

=====

# 2
AcNd2HoP4 | GGA-PBE | relaxed

Geometry as POSCAR:
```
AcNd2HoP4
1.0
4.2008 0.0000 0.0000
0.0000 7.2724 -0.1512
0.0000 2.5516 6.8106
Ac Nd Ho P
1 2 1 4
direct
0.5000 0.5000 0.0000
0.0000 0.0000 0.0000
0.5000 0.0000 0.5000
0.0000 0.5000 0.5000
0.0000 0.7557 0.7366
0.0000 0.2443 0.2634
0.5000 0.7475 0.2615
0.5000 0.2525 0.7385
```

Its spin magnetization is 0.00 μB/f.u. The calculation puts the energy of formation from the pure elements at -1.49 eV/atom.

=====

# 3
Be2TlRu | GGA-PBE | relaxed

Geometry as POSCAR:
```
Be2TlRu
1.0
7.7897 -0.1065 -0.0629
7.2385 2.8800 -0.0629
7.2385 1.3359 2.5522
Ru Tl Be
1 1 2
direct
0.7500 0.7500 0.7500
0.2500 0.2500 0.2500
0.0169 0.0169 0.0169
0.4831 0.4831 0.4831
```

Its energy above the most stable polymorph in this dataset is 0.384 eV/atom. Its spin magnetization is 0.00 μB/f.u. The calculation puts the energy of formation from the pure elements at 0.48 eV/atom.